Record 1
A plane-wave DFT calculation with PBE was carried out for crystalline CaPr5Nd3 at its relaxed geometry.

abc: 7.218 10.203 10.203
angles: 120.00 90.00 90.00
Fractional positions:
1 Nd 0.750 0.000 0.645
2 Nd 0.250 0.000 0.355
3 Nd 0.750 0.645 0.000
4 Nd 0.250 0.645 0.645
5 Nd 0.750 0.355 0.355
6 Nd 0.250 0.355 0.000
7 Pr 0.750 0.314 0.000
8 Pr 0.250 0.686 0.000
9 Pr 0.500 0.667 0.333
10 Pr 0.000 0.333 0.667
11 Pr 0.000 0.667 0.333
12 Pr 0.250 0.000 0.686
13 Pr 0.750 0.686 0.686
14 Pr 0.750 0.000 0.314
15 Pr 0.500 0.333 0.667
16 Pr 0.250 0.314 0.314
17 Ca 0.500 0.000 0.000
18 Ca 0.000 0.000 0.000

Mass density in Mg/m³: 6.0
Formation energy in eV/atom: 0.0770

---

Record 2
A plane-wave DFT calculation with PBE was carried out for crystalline Er5Tm4Mg2 at its relaxed geometry.

abc: 3.414 11.236 13.964
angles: 140.90 97.02 90.00
Fractional positions:
1 Mg 0.411 0.354 0.821
2 Mg 0.589 0.646 0.179
3 Er 0.174 0.275 0.348
4 Er 0.213 0.047 0.427
5 Er 0.787 0.953 0.573
6 Er 0.500 0.000 0.000
7 Er 0.826 0.725 0.652
8 Tm 0.977 0.229 0.953
9 Tm 0.641 0.470 0.281
10 Tm 0.023 0.771 0.047
11 Tm 0.359 0.530 0.719

Mass density in Mg/m³: 7.8
Formation energy in eV/atom: 0.1345
Polymorph energy (0 for the lowest one) in meV/atom: 0

---

Record 3
A plane-wave DFT calculation with PBE was carried out for crystalline AcTbPr2Dy5 at its relaxed geometry.

abc: 8.853 8.853 10.060
angles: 116.11 116.11 90.00
Fractional positions:
1 Dy 0.500 0.500 0.000
2 Dy 0.000 0.000 0.000
3 Dy 0.342 0.842 0.269
4 Dy 0.927 0.427 0.269
5 Dy 0.842 0.927 0.269
6 Dy 0.158 0.073 0.731
7 Dy 0.073 0.573 0.731
8 Dy 0.658 0.158 0.731
9 Dy 0.573 0.658 0.731
10 Dy 0.427 0.342 0.269
11 Ac 0.250 0.250 0.500
12 Ac 0.750 0.750 0.500
13 Pr 0.618 0.118 0.000
14 Pr 0.882 0.618 0.000
15 Pr 0.382 0.882 0.000
16 Pr 0.118 0.382 0.000
17 Tb 0.250 0.750 0.500
18 Tb 0.750 0.250 0.500

Mass density in Mg/m³: 8.0
Formation energy in eV/atom: 0.2540

---

Record 4
A plane-wave DFT calculation with PBE was carried out for crystalline Er4AlZn2Cu at its relaxed geometry.

abc: 4.984 4.984 8.628
angles: 73.21 73.21 60.00
Fractional positions:
1 Er 0.872 0.872 0.383
2 Er 0.128 0.128 0.617
3 Er 0.622 0.622 0.135
4 Er 0.378 0.378 0.865
5 Cu 0.500 0.500 0.500
6 Zn 0.253 0.253 0.240
7 Zn 0.747 0.747 0.760
8 Al 0.000 0.000 0.000

Mass density in Mg/m³: 8.4
Formation energy in eV/atom: -0.3384

---

Q: Which formula does entry 1 have?
A: CaPr5Nd3

---

Q: Which formula does entry 1 have?
A: CaPr5Nd3

---

Copy entry 1 word for word.
A plane-wave DFT calculation with PBE was carried out for crystalline CaPr5Nd3 at its relaxed geometry.

abc: 7.218 10.203 10.203
angles: 120.00 90.00 90.00
Fractional positions:
1 Nd 0.750 0.000 0.645
2 Nd 0.250 0.000 0.355
3 Nd 0.750 0.645 0.000
4 Nd 0.250 0.645 0.645
5 Nd 0.750 0.355 0.355
6 Nd 0.250 0.355 0.000
7 Pr 0.750 0.314 0.000
8 Pr 0.250 0.686 0.000
9 Pr 0.500 0.667 0.333
10 Pr 0.000 0.333 0.667
11 Pr 0.000 0.667 0.333
12 Pr 0.250 0.000 0.686
13 Pr 0.750 0.686 0.686
14 Pr 0.750 0.000 0.314
15 Pr 0.500 0.333 0.667
16 Pr 0.250 0.314 0.314
17 Ca 0.500 0.000 0.000
18 Ca 0.000 0.000 0.000

Mass density in Mg/m³: 6.0
Formation energy in eV/atom: 0.0770

---

Q: Among the records above, which one has the highest mass density?
A: Er4AlZn2Cu